Record 1
Crystalline FeAg2Sb at its relaxed geometry, computed with GGA-PBE.

Results
- Total magnetization: 2.7 μB/cell
- Mass density: 8.86 g/cm3
- ΔE_f (raw): 312 meV/atom

abc: 5.2640 5.2640 5.2127
angles: 113.52 113.52 34.19
Sites, in units of the cell vectors:
Fe 0.0000 0.0000 0.0000
Ag 0.2727 0.2727 0.6041
Ag 0.5134 0.5134 0.4741
Sb 0.7376 0.7376 0.0700

Record 2
Crystalline Sc3CdPd4 at its relaxed geometry, computed with GGA-PBE.

Results
- Total magnetization: 0.0 μB/cell
- ΔH_f (0 K): -6.55 eV per formula unit
- Mass density: 7.79 g/cm3

abc: 8.0922 8.0922 8.0922
angles: 33.45 33.45 33.45
Sites, in units of the cell vectors:
Sc 0.0000 0.0000 0.0000
Sc 0.2460 0.2460 0.2460
Sc 0.7540 0.7540 0.7540
Cd 0.5000 0.5000 0.5000
Pd 0.1196 0.1196 0.1196
Pd 0.3706 0.3706 0.3706
Pd 0.6294 0.6294 0.6294
Pd 0.8804 0.8804 0.8804

Record 3
Crystalline Bi4Ir at its relaxed geometry, computed with GGA-PBE.

Results
- Total magnetization: 0.0 μB/cell
- ΔH_f (0 K): 2.13 eV per formula unit
- Mass density: 10.80 g/cm3
- Energy relative to the lowest polymorph listed for this composition: 436 meV per atom

abc: 5.4073 5.4073 5.4073
angles: 90.00 90.00 90.00
Sites, in units of the cell vectors:
Bi 0.0000 0.0000 0.0000
Bi 0.0000 0.5000 0.5000
Bi 0.5000 0.0000 0.5000
Bi 0.5000 0.5000 0.0000
Ir 0.5000 0.5000 0.5000

Record 4
Crystalline Mg2NiW at its relaxed geometry, computed with GGA-PBE.

Results
- Total magnetization: 0.0 μB/cell
- ΔH_f (0 K): 0.77 eV per formula unit
- Mass density: 7.76 g/cm3
- Energy relative to the lowest polymorph listed for this composition: 84 meV per atom

abc: 2.7797 2.7797 8.0624
angles: 90.00 90.00 90.00
Sites, in units of the cell vectors:
Mg 0.0000 0.0000 0.2215
Mg 0.0000 0.0000 0.7785
Ni 0.5000 0.5000 0.0000
W 0.5000 0.5000 0.5000

Record 5
Crystalline Pr2Zn12Rh5 at its relaxed geometry, computed with GGA-PBE.

Results
- Total magnetization: 0.0 μB/cell
- ΔH_f (0 K): -7.23 eV per formula unit
- Mass density: 8.35 g/cm3

abc: 6.8446 6.8446 6.8446
angles: 83.24 83.24 83.24
Sites, in units of the cell vectors:
Pr 0.1734 0.1734 0.1734
Pr 0.8266 0.8266 0.8266
Zn 0.1542 0.1542 0.6514
Zn 0.1542 0.6514 0.1542
Zn 0.2123 0.5000 0.7877
Zn 0.2123 0.7877 0.5000
Zn 0.3486 0.8458 0.8458
Zn 0.5000 0.2123 0.7877
Zn 0.5000 0.7877 0.2123
Zn 0.6514 0.1542 0.1542
Zn 0.7877 0.2123 0.5000
Zn 0.7877 0.5000 0.2123
Zn 0.8458 0.3486 0.8458
Zn 0.8458 0.8458 0.3486
Rh 0.0000 0.5000 0.5000
Rh 0.4012 0.4012 0.4012
Rh 0.5000 0.0000 0.5000
Rh 0.5000 0.5000 0.0000
Rh 0.5988 0.5988 0.5988

Record 6
Crystalline La2Pr5Ho6 at its relaxed geometry, computed with GGA-PBE.

Results
- Total magnetization: 0.0 μB/cell
- ΔH_f (0 K): 1.19 eV per formula unit
- Mass density: 7.32 g/cm3

abc: 11.8077 20.8582 3.6315
angles: 90.00 90.00 90.00
Sites, in units of the cell vectors:
La 0.1793 0.2269 0.0000
La 0.3207 0.7269 0.0000
La 0.6793 0.2731 0.0000
La 0.8207 0.7731 0.0000
Pr 0.0000 0.5000 0.5000
Pr 0.0791 0.7871 0.5000
Pr 0.2000 0.0600 0.5000
Pr 0.3000 0.5600 0.5000
Pr 0.4209 0.2871 0.5000
Pr 0.5000 0.0000 0.5000
Pr 0.5791 0.7129 0.5000
Pr 0.7000 0.4400 0.5000
Pr 0.8000 0.9400 0.5000
Pr 0.9209 0.2129 0.5000
Ho 0.0671 0.6410 0.0000
Ho 0.0674 0.9295 0.0000
Ho 0.1863 0.3775 0.5000
Ho 0.3137 0.8775 0.5000
Ho 0.4329 0.1410 0.0000
Ho 0.4326 0.4295 0.0000
Ho 0.5674 0.5705 0.0000
Ho 0.5671 0.8590 0.0000
Ho 0.6863 0.1225 0.5000
Ho 0.8137 0.6225 0.5000
Ho 0.9326 0.0705 0.0000
Ho 0.9329 0.3590 0.0000

| no. | volume (Å³/cell) |
| --- | --- |
| 1 | 74 |
| 2 | 143 |
| 3 | 158 |
| 4 | 62 |
| 5 | 314 |
| 6 | 894 |